(1)
Density functional theory data (GGA-PBE) for Na3AgBr6 after structural relaxation.

It has space group P2_1/c (No. 14), with a = 6.857 Å, b = 7.337 Å, c = 13.166 Å, α = 90.00°, β = 109.53° and γ = 90.00°. The asymmetric unit holds Na at (0.000, 0.000, 0.000), Na at (0.286, 0.124, 0.756), Ag at (0.500, 0.000, 0.500), Br at (0.104, 0.504, 0.730), Br at (0.316, 0.691, 0.104) and Br at (0.395, 0.213, 0.072).

The value obtained for the total magnetization is 0.00 μB per atom. The value obtained for the formation energy from raw total energies is -0.93 eV/atom.

***

(2)
Density functional theory data (GGA-PBE) for Y5Cr3 after structural relaxation.

It has space group P6_3/mcm (No. 193), with a = 8.6772 Å, b = 8.6772 Å, c = 6.3855 Å, α = 90.00°, β = 90.00° and γ = 120.00°. The asymmetric unit holds Y at (0.0000, 0.2521, 0.2500), Y at (0.3333, 0.6667, 0.0000) and Cr at (0.0000, 0.3956, 0.7500).

The value obtained for the total magnetization is 1.14 μB per atom. For the energy of formation from the pure elements, the calculation gives 360 meV per atom.

***

(3)
Density functional theory data (GGA-PBE) for V8Re2Mo after structural relaxation.

It has space group C2/m (No. 12), with a = 12.026 Å, b = 4.360 Å, c = 7.106 Å, α = 90.00°, β = 121.69° and γ = 90.00°. The asymmetric unit holds V at (0.046, 0.000, 0.350), V at (0.060, 0.500, 0.898), V at (0.187, 0.500, 0.431), V at (0.202, 0.000, 0.806), Re at (0.149, 0.000, 0.115) and Mo at (0.000, 0.500, 0.500).

The value obtained for the total magnetization is 0.00 μB per atom. For the energy of formation from the pure elements, the calculation gives 142 meV per atom.

***

(4)
Density functional theory data (GGA-PBE) for LiSm2PuN4 after structural relaxation.

It has space group P2/m (No. 10), with a = 5.858 Å, b = 3.589 Å, c = 5.868 Å, α = 90.00°, β = 106.46° and γ = 90.00°. The asymmetric unit holds Li at (0.000, 0.000, 0.000), Sm at (0.500, 0.000, 0.500), Sm at (0.500, 0.500, 0.000), Pu at (0.000, 0.500, 0.500), N at (0.234, 0.500, 0.298) and N at (0.244, 0.000, 0.751).

The value obtained for the total magnetization is 0.38 μB per atom. The value obtained for the formation energy from raw total energies is -1.07 eV/atom.

***

(5)
Density functional theory data (GGA-PBE) for Mg3FeSi after structural relaxation.

It has space group Pm-3m (No. 221), with a = 4.764 Å, b = 4.764 Å, c = 4.764 Å, α = 90.00°, β = 90.00° and γ = 90.00°. The asymmetric unit holds Mg at (0.000, 0.000, 0.500), Fe at (0.000, 0.000, 0.000) and Si at (0.500, 0.500, 0.500).

The value obtained for the total magnetization is 0.00 μB per atom. The value obtained for the formation energy from raw total energies is 0.83 eV/atom.

***

(6)
Density functional theory data (GGA-PBE) for PrEu2Y after structural relaxation.

It has space group P4/mmm (No. 123), with a = 5.245 Å, b = 5.245 Å, c = 5.365 Å, α = 90.00°, β = 90.00° and γ = 90.00°. The asymmetric unit holds Pr at (0.000, 0.000, 0.000), Eu at (0.000, 0.500, 0.500) and Y at (0.500, 0.500, 0.000).

The value obtained for the total magnetization is 3.76 μB per atom. For the energy of formation from the pure elements, the calculation gives 104 meV per atom.

***

(7)
Density functional theory data (GGA-PBE) for HfMg2Cu9 after structural relaxation.

It has space group R-3m (No. 166, hexagonal axes), with a = 4.9367 Å, b = 4.9367 Å, c = 24.1000 Å, α = 90.00°, β = 90.00° and γ = 120.00°. The asymmetric unit holds Hf at (0.0000, 0.0000, 0.0000), Mg at (0.0000, 0.0000, 0.1426), Cu at (0.0000, 0.0000, 0.3332), Cu at (0.0000, 0.0000, 0.5000) and Cu at (0.0024, 0.5012, 0.9163).

The value obtained for the total magnetization is 0.00 μB per atom. For the energy of formation from the pure elements, the calculation gives -87 meV per atom.

***

(8)
Density functional theory data (GGA-PBE) for Pd3PtAu6 after structural relaxation.

It has space group P2_1/m (No. 11), with a = 5.782 Å, b = 4.034 Å, c = 14.511 Å, α = 90.00°, β = 90.60° and γ = 90.00°. The asymmetric unit holds Pd at (0.124, 0.250, 0.249), Pd at (0.132, 0.250, 0.852), Pd at (0.373, 0.750, 0.550), Pt at (0.380, 0.750, 0.952), Au at (0.120, 0.250, 0.051), Au at (0.122, 0.250, 0.653), Au at (0.129, 0.250, 0.450), Au at (0.370, 0.750, 0.150), Au at (0.373, 0.750, 0.753) and Au at (0.378, 0.750, 0.351).

The value obtained for the total magnetization is 0.00 μB per atom. For the energy of formation from the pure elements, the calculation gives -46 meV per atom.

***

(9)
Density functional theory data (GGA-PBE) for KSe3O9 after structural relaxation.

It has space group C222_1 (No. 20), with a = 9.915 Å, b = 12.595 Å, c = 8.508 Å, α = 90.00°, β = 90.00° and γ = 90.00°. The asymmetric unit holds K at (0.146, 0.000, 0.000), Se at (0.006, 0.328, 0.044), Se at (0.235, 0.000, 0.500), O at (0.000, 0.382, 0.250), O at (0.046, 0.203, 0.044), O at (0.131, 0.362, 0.551), O at (0.150, 0.037, 0.655) and O at (0.158, 0.400, 0.928).

The value obtained for the total magnetization is 0.08 μB per atom. The value obtained for the formation energy from raw total energies is -0.64 eV/atom.

***

(10)
Density functional theory data (GGA-PBE) for InSb2As2 after structural relaxation.

It has space group P4/mbm (No. 127), with a = 8.446 Å, b = 8.446 Å, c = 3.794 Å, α = 90.00°, β = 90.00° and γ = 90.00°. The asymmetric unit holds In at (0.000, 0.000, 0.000), Sb at (0.172, 0.328, 0.000) and As at (0.168, 0.668, 0.500).

The value obtained for the total magnetization is 0.00 μB per atom. The value obtained for the formation energy from raw total energies is 0.20 eV/atom.

***

(11)
Density functional theory data (GGA-PBE) for ThP12Ru4 after structural relaxation.

It has space group Im-3 (No. 204), with a = 8.098 Å, b = 8.098 Å, c = 8.098 Å, α = 90.00°, β = 90.00° and γ = 90.00°. The asymmetric unit holds Th at (0.000, 0.000, 0.000), P at (0.000, 0.144, 0.355) and Ru at (0.250, 0.250, 0.250).

The value obtained for the total magnetization is 0.00 μB per atom. For the energy of formation from the pure elements, the calculation gives -695 meV per atom.

***

(12)
Density functional theory data (GGA-PBE) for PrErGa after structural relaxation.

It has space group P3m1 (No. 156), with a = 4.9975 Å, b = 4.9975 Å, c = 3.8600 Å, α = 90.00°, β = 90.00° and γ = 120.00°. The asymmetric unit holds Pr at (0.0000, 0.0000, 0.0000), Er at (0.3333, 0.6667, 0.5335) and Ga at (0.6667, 0.3333, 0.3817).

The value obtained for the total magnetization is 0.00 μB per atom. For the energy of formation from the pure elements, the calculation gives -261 meV per atom.

***

> Which of these has the highest total magnetization?

PrEu2Y

***

What did the eleventh record say?
Density functional theory data (GGA-PBE) for ThP12Ru4 after structural relaxation.

It has space group Im-3 (No. 204), with a = 8.098 Å, b = 8.098 Å, c = 8.098 Å, α = 90.00°, β = 90.00° and γ = 90.00°. The asymmetric unit holds Th at (0.000, 0.000, 0.000), P at (0.000, 0.144, 0.355) and Ru at (0.250, 0.250, 0.250).

The value obtained for the total magnetization is 0.00 μB per atom. For the energy of formation from the pure elements, the calculation gives -695 meV per atom.

***

> What is the total magnetization in the eleventh record?

0.00 μB per atom